1.
First-principles (PBEsol) data for crystalline LaY2Sc at its relaxed geometry, as listed in Alexandria.

Calculated values
Total magnetization in μB per formula unit: 0.00
Electronic total energy in eV for the cell shown: -25.424

Cell and atoms, written as POSCAR:
```
LaY2Sc
1.0
3.496 0.000 0.000
-0.001 5.962 -0.003
-1.747 -1.055 5.624
La Sc Y
1 1 2
Direct
0.494 0.497 0.989
0.751 0.250 0.502
0.005 0.006 0.010
0.250 0.748 0.499
```

=====

2.
First-principles (PBEsol) data for crystalline TcRhN at its relaxed geometry, as listed in Alexandria.

Calculated values
Total magnetization in μB per formula unit: 0.00
ΔE_f (raw) in meV/atom: -146
Electronic total energy in eV for the cell shown: -28.370

Cell and atoms, written as POSCAR:
```
TcRhN
1.0
2.736 0.000 0.000
-1.368 2.369 0.000
0.000 0.000 5.357
Tc Rh N
1 1 1
Direct
0.000 0.000 0.454
0.333 0.667 0.850
0.333 0.667 0.223
```

=====

3.
First-principles (PBEsol) data for crystalline BeHgW at its relaxed geometry, as listed in Alexandria.

Calculated values
Total magnetization in μB per formula unit: 0.00
Electronic total energy in eV for the cell shown: -15.504

Cell and atoms, written as POSCAR:
```
BeHgW
1.0
4.030 0.000 0.000
2.015 3.490 0.000
2.015 1.163 3.291
Be W Hg
1 1 1
Direct
0.250 0.250 0.250
0.500 0.500 0.500
0.000 0.000 0.000
```

=====

4.
First-principles (PBEsol) data for crystalline Nb3GaRh at its relaxed geometry, as listed in Alexandria.

Calculated values
Total magnetization in μB per formula unit: 0.00
Electronic total energy in eV for the cell shown: -37.692

Cell and atoms, written as POSCAR:
```
Nb3GaRh
1.0
-0.008 3.129 -3.407
-4.621 -0.164 -0.140
-0.216 3.403 3.126
Nb Rh Ga
3 1 1
Direct
0.000 0.000 0.500
0.000 0.500 0.000
0.500 0.000 0.000
0.500 0.500 0.500
0.000 0.000 0.000
```